TcHg2Br: relaxed, PBE.

Results
E_form (uncorrected)	0.570	eV/atom
SG	I-42d, No. 122
crystal system	tetragonal
polymorph energy (0 for the lowest one)	246.9	meV/atom

a b c (Å): 7.237 7.237 7.237
angles (deg): 96.94 96.94 139.31
Fractional coordinates of all 8 atoms:
Tc 0.000 0.000 0.000
Tc 0.750 0.250 0.500
Hg 0.012 0.125 0.387
Hg 0.375 0.988 0.113
Hg 0.738 0.625 0.613
Hg 0.875 0.262 0.887
Br 0.250 0.750 0.500
Br 0.500 0.500 0.000

***

Tc3HgBr: relaxed, PBE.

Results
E_form (uncorrected)	2.345	eV/atom
SG	Pm-3m, No. 221
crystal system	cubic
polymorph energy (0 for the lowest one)	814.9	meV/atom

a b c (Å): 5.242 5.242 5.242
angles (deg): 90.00 90.00 90.00
Fractional coordinates of all 5 atoms:
Tc 0.000 0.000 0.500
Tc 0.000 0.500 0.000
Tc 0.500 0.000 0.000
Hg 0.000 0.000 0.000
Br 0.500 0.500 0.500

***

TcHgBr2: relaxed, PBE.

Results
E_form (uncorrected)	0.687	eV/atom
SG	Cmmm, No. 65
crystal system	orthorhombic
polymorph energy (0 for the lowest one)	622.3	meV/atom

a b c (Å): 5.293 5.293 3.632
angles (deg): 90.00 90.00 95.73
Fractional coordinates of all 4 atoms:
Tc 0.000 0.000 0.000
Hg 0.500 0.500 0.000
Br 0.000 0.500 0.500
Br 0.500 0.000 0.500

***

Tc4HgBr: relaxed, PBE.

Results
E_form (uncorrected)	0.966	eV/atom
SG	F-43m, No. 216
crystal system	cubic

a b c (Å): 5.278 5.278 5.278
angles (deg): 60.00 60.00 60.00
Fractional coordinates of all 6 atoms:
Tc 0.123 0.123 0.123
Tc 0.123 0.123 0.630
Tc 0.123 0.630 0.123
Tc 0.630 0.123 0.123
Hg 0.500 0.500 0.500
Br 0.750 0.750 0.750

***

TcHg2Br: relaxed, PBE.

Results
E_form (uncorrected)	0.323	eV/atom
SG	Cm, No. 8
crystal system	monoclinic
polymorph energy (0 for the lowest one)	0.0	meV/atom

a b c (Å): 7.329 7.329 4.823
angles (deg): 109.14 109.14 24.12
Fractional coordinates of all 4 atoms:
Tc 0.000 0.000 0.000
Hg 0.322 0.322 0.822
Hg 0.475 0.475 0.475
Br 0.648 0.648 0.147

***

TcHgBr2: relaxed, PBE.

Results
E_form (uncorrected)	0.421	eV/atom
SG	P4mm, No. 99
crystal system	tetragonal
polymorph energy (0 for the lowest one)	356.2	meV/atom

a b c (Å): 3.474 3.474 8.637
angles (deg): 90.00 90.00 90.00
Fractional coordinates of all 4 atoms:
Tc 0.000 0.000 0.000
Hg 0.500 0.500 0.799
Br 0.000 0.000 0.600
Br 0.500 0.500 0.186

***

TcHgBr2: relaxed, PBE.

Results
E_form (uncorrected)	0.349	eV/atom
SG	Imm2, No. 44
crystal system	orthorhombic
polymorph energy (0 for the lowest one)	284.0	meV/atom

a b c (Å): 6.181 6.181 6.181
angles (deg): 147.32 110.86 78.60
Fractional coordinates of all 4 atoms:
Tc 0.000 0.000 0.000
Hg 0.232 0.732 0.500
Br 0.467 0.467 0.000
Br 0.814 0.314 0.500

***

TcHgBr: relaxed, PBE.

Results
E_form (uncorrected)	0.859	eV/atom
SG	P-6m2, No. 187
crystal system	hexagonal
polymorph energy (0 for the lowest one)	372.6	meV/atom

a b c (Å): 4.665 4.665 3.342
angles (deg): 90.00 90.00 120.00
Fractional coordinates of all 3 atoms:
Tc 0.000 0.000 0.000
Hg 0.333 0.667 0.500
Br 0.667 0.333 0.000

***

TcHg2Br: relaxed, PBE.

Results
E_form (uncorrected)	0.330	eV/atom
SG	R3m, No. 160
crystal system	trigonal
polymorph energy (0 for the lowest one)	7.4	meV/atom

a b c (Å): 9.982 9.982 9.982
angles (deg): 19.45 19.45 19.45
Fractional coordinates of all 4 atoms:
Tc 0.000 0.000 0.000
Hg 0.497 0.497 0.497
Hg 0.739 0.739 0.739
Br 0.282 0.282 0.282

***

TcHgBr2: relaxed, PBE.

Results
E_form (uncorrected)	0.161	eV/atom
SG	Immm, No. 71
crystal system	orthorhombic
polymorph energy (0 for the lowest one)	96.6	meV/atom

a b c (Å): 6.884 6.884 6.884
angles (deg): 151.38 126.48 61.81
Fractional coordinates of all 4 atoms:
Tc 0.000 0.000 0.000
Hg 0.500 0.500 0.000
Br 0.160 0.660 0.500
Br 0.840 0.340 0.500

***

TcHgBr2: relaxed, PBE.

Results
E_form (uncorrected)	0.065	eV/atom
SG	R-3m, No. 166
crystal system	trigonal
polymorph energy (0 for the lowest one)	0.0	meV/atom

a b c (Å): 11.079 11.079 11.079
angles (deg): 18.95 18.95 18.95
Fractional coordinates of all 4 atoms:
Tc 0.000 0.000 0.000
Hg 0.500 0.500 0.500
Br 0.379 0.379 0.379
Br 0.621 0.621 0.621

***

TcHgBr2: relaxed, PBE.

Results
E_form (uncorrected)	0.338	eV/atom
SG	Cmm2, No. 35
crystal system	orthorhombic
polymorph energy (0 for the lowest one)	272.9	meV/atom

a b c (Å): 3.723 3.723 9.481
angles (deg): 90.00 90.00 122.48
Fractional coordinates of all 4 atoms:
Tc 0.000 0.000 0.000
Hg 0.500 0.500 0.776
Br 0.000 0.000 0.561
Br 0.500 0.500 0.189

***

Number 1: total moment 4.81 μB per cell. Number 2: total moment 11.22 μB per cell. Number 3: total moment 4.48 μB per cell. Number 4: total moment 0.00 μB per cell. Number 5: total moment 0.00 μB per cell. Number 6: total moment 3.54 μB per cell. Number 7: total moment 3.00 μB per cell. Number 8: total moment 2.58 μB per cell. Number 9: total moment 0.15 μB per cell. Number 10: total moment 3.00 μB per cell. Number 11: total moment 1.00 μB per cell. Number 12: total moment 2.89 μB per cell.